# 1
# RbCaIn2Rh

RbCaIn2Rh after structural relaxation (GGA-PBE, Alexandria via LeMat-Bulk).

The calculation puts the total energy at -3.4252 eV per atom. The value obtained for the theoretical density is 4.9 g/cm³. The value obtained for the magnetization is 0.00 μB/f.u. The formation energy comes out at -0.27 eV/atom.

It has space group P4/mmm (No. 123), with a = 5.319 Å, b = 5.319 Å, c = 5.445 Å, α = 90.00°, β = 90.00° and γ = 90.00°. Symmetry generates all atoms from Rb at (0.000, 0.000, 0.000), Ca at (0.500, 0.500, 0.000), In at (0.000, 0.500, 0.500) and Rh at (0.500, 0.500, 0.500).

***

# 2
# LuThCuRu

LuThCuRu after structural relaxation (GGA-PBE, Alexandria via LeMat-Bulk).

The calculation puts the total energy at -6.6575 eV per atom. The value obtained for the theoretical density is 11.3 g/cm³. The value obtained for the magnetization is 0.00 μB/f.u. The formation energy comes out at -0.33 eV/atom.

It has space group F-43m (No. 216), with a = 6.957 Å, b = 6.957 Å, c = 6.957 Å, α = 90.00°, β = 90.00° and γ = 90.00°. Symmetry generates all atoms from Lu at (0.000, 0.000, 0.000), Th at (0.000, 0.000, 0.500), Cu at (0.250, 0.250, 0.750) and Ru at (0.250, 0.250, 0.250).

***

# 3
# Nd4Se3O2

Nd4Se3O2 after structural relaxation (GGA-PBE, Alexandria via LeMat-Bulk).

The calculation puts the total energy at -6.7493 eV per atom. The value obtained for the theoretical density is 6.6 g/cm³. The value obtained for the uncorrected formation energy is -2367.0 meV/atom. The energy relative to the lowest polymorph listed for this composition comes out at 0.85 kcal/mol of atoms. The value obtained for the magnetization is 0.00 μB/f.u.

It has space group C2/c (No. 15), with a = 12.803 Å, b = 10.062 Å, c = 6.580 Å, α = 90.00°, β = 91.29° and γ = 90.00°. Symmetry generates all atoms from Nd at (0.116, 0.183, 0.027), Nd at (0.161, 0.423, 0.579), Se at (0.000, 0.394, 0.250), Se at (0.119, 0.125, 0.542) and O at (0.206, 0.374, 0.915).

***

# 4
# Tb3InRu2

Tb3InRu2 after structural relaxation (GGA-PBE, Alexandria via LeMat-Bulk).

The calculation puts the total energy at -6.2725 eV per atom. The value obtained for the theoretical density is 9.8 g/cm³. The value obtained for the magnetization is 0.00 μB/f.u. The formation energy comes out at -0.41 eV/atom.

It has space group P4/mmm (No. 123), with a = 3.451 Å, b = 3.451 Å, c = 11.306 Å, α = 90.00°, β = 90.00° and γ = 90.00°. Symmetry generates all atoms from Tb at (0.000, 0.000, 0.000), Tb at (0.000, 0.000, 0.297), In at (0.500, 0.500, 0.500) and Ru at (0.500, 0.500, 0.155).

***

# 5
# AcDyMgRu

AcDyMgRu after structural relaxation (GGA-PBE, Alexandria via LeMat-Bulk).

The calculation puts the total energy at -4.9007 eV per atom. The value obtained for the theoretical density is 8.3 g/cm³. The value obtained for the magnetization is 0.00 μB/f.u. The formation energy comes out at -0.01 eV/atom.

It has space group F-43m (No. 216), with a = 7.427 Å, b = 7.427 Å, c = 7.427 Å, α = 90.00°, β = 90.00° and γ = 90.00°. Symmetry generates all atoms from Ac at (0.000, 0.000, 0.000), Dy at (0.000, 0.000, 0.500), Mg at (0.250, 0.250, 0.250) and Ru at (0.250, 0.250, 0.750).

***

# 6
# Sr2LiTlIr

Sr2LiTlIr after structural relaxation (GGA-PBE, Alexandria via LeMat-Bulk).

The calculation puts the total energy at -3.3816 eV per atom. The value obtained for the theoretical density is 5.3 g/cm³. The value obtained for the magnetization is 0.00 μB/f.u. The formation energy comes out at -0.08 eV/atom.

It has space group P4/mmm (No. 123), with a = 5.829 Å, b = 5.829 Å, c = 5.309 Å, α = 90.00°, β = 90.00° and γ = 90.00°. Symmetry generates all atoms from Sr at (0.000, 0.500, 0.000), Li at (0.000, 0.000, 0.500), Tl at (0.500, 0.500, 0.500) and Ir at (0.500, 0.500, 0.000).

***

# 7
# AcTbBi2

AcTbBi2 after structural relaxation (GGA-PBE, Alexandria via LeMat-Bulk).

The calculation puts the total energy at -4.7959 eV per atom. The value obtained for the theoretical density is 10.1 g/cm³. The energy relative to the lowest polymorph listed for this composition comes out at 5.88 kcal/mol of atoms. The value obtained for the magnetization is 0.00 μB/f.u. The formation energy comes out at -0.67 eV/atom.

It has space group Fm-3m (No. 225), with a = 8.097 Å, b = 8.097 Å, c = 8.097 Å, α = 90.00°, β = 90.00° and γ = 90.00°. Symmetry generates all atoms from Ac at (0.000, 0.000, 0.000), Tb at (0.000, 0.000, 0.500) and Bi at (0.250, 0.250, 0.250).

***

# 8
# HfAlSi

HfAlSi after structural relaxation (GGA-PBE, Alexandria via LeMat-Bulk).

The calculation puts the total energy at -6.6123 eV per atom. The value obtained for the theoretical density is 7.2 g/cm³. The value obtained for the uncorrected formation energy is -239.3 meV/atom. The value obtained for the magnetization is 0.00 μB/f.u.

It has space group P-62m (No. 189), with a = 7.0846 Å, b = 7.0846 Å, c = 3.6985 Å, α = 90.00°, β = 90.00° and γ = 120.00°. Symmetry generates all atoms from Hf at (0.0000, 0.2746, 0.0000), Al at (0.0000, 0.6088, 0.5000), Si at (0.0000, 0.0000, 0.5000) and Si at (0.3333, 0.6667, 0.0000).

***

# 9
# YLuZnRu

YLuZnRu after structural relaxation (GGA-PBE, Alexandria via LeMat-Bulk).

The calculation puts the total energy at -5.7700 eV per atom. The value obtained for the theoretical density is 8.7 g/cm³. The value obtained for the magnetization is 0.00 μB/f.u. The formation energy comes out at -0.39 eV/atom.

It has space group F-43m (No. 216), with a = 6.890 Å, b = 6.890 Å, c = 6.890 Å, α = 90.00°, β = 90.00° and γ = 90.00°. Symmetry generates all atoms from Y at (0.000, 0.000, 0.000), Lu at (0.000, 0.000, 0.500), Zn at (0.250, 0.250, 0.250) and Ru at (0.250, 0.250, 0.750).

***

# 10
# Tb2Sm5YHo

Tb2Sm5YHo after structural relaxation (GGA-PBE, Alexandria via LeMat-Bulk).

The calculation puts the total energy at -4.7275 eV per atom. The value obtained for the theoretical density is 7.2 g/cm³. The value obtained for the magnetization is 0.00 μB/f.u. The formation energy comes out at 0.15 eV/atom.

It has space group Cmc2_1 (No. 36), with a = 5.647 Å, b = 20.272 Å, c = 10.619 Å, α = 90.00°, β = 90.00° and γ = 90.00°. Symmetry generates all atoms from Tb at (0.000, 0.112, 0.000), Tb at (0.000, 0.115, 0.578), Sm at (0.000, 0.016, 0.283), Sm at (0.000, 0.279, 0.575), Sm at (0.000, 0.298, 0.971), Sm at (0.000, 0.386, 0.286), Sm at (0.000, 0.481, 0.006), Y at (0.000, 0.409, 0.723) and Ho at (0.000, 0.199, 0.275).

***

# 11
# KCu2Ir

KCu2Ir after structural relaxation (GGA-PBE, Alexandria via LeMat-Bulk).

The calculation puts the total energy at -3.9582 eV per atom. The value obtained for the theoretical density is 8.5 g/cm³. The energy relative to the lowest polymorph listed for this composition comes out at 5.73 kcal/mol of atoms. The value obtained for the magnetization is 0.00 μB/f.u. The formation energy comes out at 0.58 eV/atom.

It has space group Imm2 (No. 44), with a = 2.597 Å, b = 5.145 Å, c = 10.420 Å, α = 90.00°, β = 90.00° and γ = 90.00°. Symmetry generates all atoms from K at (0.000, 0.000, 0.000), Cu at (0.000, 0.000, 0.493), Cu at (0.000, 0.500, 0.785) and Ir at (0.000, 0.500, 0.206).

***

# 12
# ScBP2C

ScBP2C after structural relaxation (GGA-PBE, Alexandria via LeMat-Bulk).

The calculation puts the total energy at -6.7746 eV per atom. The value obtained for the theoretical density is 3.0 g/cm³. The energy relative to the lowest polymorph listed for this composition comes out at 1.83 kcal/mol of atoms. The value obtained for the magnetization is 0.00 μB/f.u. The formation energy comes out at -0.16 eV/atom.

It has space group P1 (No. 1), with a = 3.494 Å, b = 4.448 Å, c = 5.139 Å, α = 83.99°, β = 79.81° and γ = 68.14°. Symmetry generates all atoms from Sc at (0.000, 0.000, 0.000), B at (0.570, 0.731, 0.393), P at (0.210, 0.467, 0.361), P at (0.789, 0.588, 0.743) and C at (0.403, 0.072, 0.266).

***

The N(E_F) results, record by record, are as follows: 3.6 3.6 3.5 3.4 5.1 2.4 2.9 1.9 3.9 14.6 2.5 0.4 states/eV/f.u..